# 1
A plane-wave DFT calculation with PBE was carried out for an optimized crystal structure of Ba4ZrMn.

Geometry as extended XYZ:
```
6
Lattice="0.000 5.116 5.116 5.116 0.000 5.116 5.116 5.116 0.000" Properties=species:S:1:pos:R:3 pbc="T T T"
Ba 3.835 6.398 6.398
Ba 6.398 6.398 3.835
Ba 6.398 3.835 6.398
Ba 3.835 3.835 3.835
Zr 0.000 0.000 0.000
Mn 7.674 7.674 7.674
```

## Properties
ρ: 4.31 g cm⁻³
ΔE_f: 1.08 eV per atom

# 2
A plane-wave DFT calculation with PBE was carried out for an optimized crystal structure of CuAuCl2.

Geometry as extended XYZ:
```
4
Lattice="-2.342 2.170 -0.401 -2.147 -2.376 -0.320 -1.118 0.076 6.942" Properties=species:S:1:pos:R:3 pbc="T T T"
Au -3.083 -0.046 4.846
Cu -2.524 -0.084 1.375
Cl -0.031 0.002 0.194
Cl -0.528 0.036 3.277
```

## Properties
ρ: 7.56 g cm⁻³
formation energy without anion corrections: 191 meV/atom

# 3
A plane-wave DFT calculation with PBE was carried out for an optimized crystal structure of Pm5Dy4Y4.

Geometry as extended XYZ:
```
13
Lattice="-0.923 -4.296 2.529 1.898 -7.016 -6.143 8.243 -2.319 4.150" Properties=species:S:1:pos:R:3 pbc="T T T"
Pm 7.296 -10.694 -0.258
Pm 1.923 -2.936 0.795
Pm 0.000 0.000 0.000
Pm 2.228 -8.059 -2.714
Pm 6.991 -5.571 3.251
Dy 0.662 -6.190 -0.110
Dy 8.556 -7.440 0.647
Dy 4.156 -11.001 -1.925
Dy 5.062 -2.629 2.462
Y 5.730 -8.809 2.372
Y 3.822 -5.873 1.581
Y 3.489 -4.821 -1.835
Y 5.397 -7.757 -1.044
```

## Properties
ρ: 6.74 g cm⁻³
ΔE_f: 0.02 eV per atom

# 4
A plane-wave DFT calculation with PBE was carried out for an optimized crystal structure of Ba3Hf2Se2O5.

Geometry as extended XYZ:
```
12
Lattice="-2.617 3.437 -0.065 -1.221 -0.853 4.055 11.198 5.855 2.302" Properties=species:S:1:pos:R:3 pbc="T T T"
Ba 3.124 2.406 1.447
Ba 4.236 6.032 4.845
Ba 0.000 0.000 0.000
Hf 7.755 5.973 3.591
Hf -0.395 2.465 2.700
Se 1.673 4.058 3.658
Se 5.687 4.380 2.634
O 0.205 2.884 0.668
O 7.155 5.555 5.624
O 0.903 0.739 2.728
O 6.457 7.699 3.563
O -1.919 1.292 1.995
```

## Properties
ρ: 7.18 g cm⁻³
formation energy without anion corrections: -2850 meV/atom

# 5
A plane-wave DFT calculation with PBE was carried out for an optimized crystal structure of InCoRu2.

Geometry as extended XYZ:
```
4
Lattice="-0.042 -8.381 2.615 -0.829 -8.740 -0.084 1.920 -8.548 0.576" Properties=species:S:1:pos:R:3 pbc="T T T"
Co 0.262 -6.417 0.777
In 0.786 -19.252 2.331
Ru 1.041 -25.488 3.085
Ru 0.532 -13.017 1.576
```

## Properties
ρ: 10.41 g cm⁻³
ΔE_f: 0.38 eV per atom

Look up the ρ of the second one. 7.56 g cm⁻³

Number 3 is which compound? Pm5Dy4Y4

Copy entry 2 word for word.
A plane-wave DFT calculation with PBE was carried out for an optimized crystal structure of CuAuCl2.

Geometry as extended XYZ:
```
4
Lattice="-2.342 2.170 -0.401 -2.147 -2.376 -0.320 -1.118 0.076 6.942" Properties=species:S:1:pos:R:3 pbc="T T T"
Au -3.083 -0.046 4.846
Cu -2.524 -0.084 1.375
Cl -0.031 0.002 0.194
Cl -0.528 0.036 3.277
```

## Properties
ρ: 7.56 g cm⁻³
formation energy without anion corrections: 191 meV/atom